Entry 1:
Crystalline Si2AgTeI at its relaxed geometry, computed with PBE.

For the uncorrected formation energy, the calculation gives 0.94 eV per atom. The value obtained for the volume is 160 Å³/cell.

The space group is P4/mmm (No. 123) and the conventional cell measures 5.517, 5.517 and 5.264 Å, with angles of 90.00, 90.00 and 90.00 degrees. Symmetry generates all atoms from Si at (0.000, 0.500, 0.000), Ag at (0.000, 0.000, 0.500), Te at (0.000, 0.000, 0.000) and I at (0.500, 0.500, 0.500).

Entry 2:
Crystalline SiAg5Te4I2 at its relaxed geometry, computed with PBE.

For the uncorrected formation energy, the calculation gives -0.10 eV per atom. The value obtained for the volume is 735 Å³/cell.

The space group is Amm2 (No. 38) and the conventional cell measures 8.275, 12.277 and 7.233 Å, with angles of 90.00, 90.00 and 90.00 degrees. Symmetry generates all atoms from Si at (0.000, 0.000, 0.000), Ag at (0.187, 0.143, 0.478), Ag at (0.500, 0.000, 0.919), Te at (0.000, 0.173, 0.803), Te at (0.253, 0.000, 0.193) and I at (0.500, 0.172, 0.652).

Entry 3:
Crystalline SiAgTeI2 at its relaxed geometry, computed with PBE.

Its energy relative to the lowest polymorph listed for this composition is 308.5 meV per atom. For the uncorrected formation energy, the calculation gives 0.69 eV per atom. The value obtained for the volume is 171 Å³/cell.

The space group is P4/mmm (No. 123) and the conventional cell measures 5.521, 5.521 and 5.607 Å, with angles of 90.00, 90.00 and 90.00 degrees. Symmetry generates all atoms from Si at (0.000, 0.000, 0.000), Ag at (0.500, 0.500, 0.500), Te at (0.500, 0.500, 0.000) and I at (0.000, 0.500, 0.500).

Entry 4:
Crystalline SiAgTe2I at its relaxed geometry, computed with PBE.

Its energy relative to the lowest polymorph listed for this composition is 308.4 meV per atom. For the uncorrected formation energy, the calculation gives 0.78 eV per atom. The value obtained for the volume is 163 Å³/cell.

The space group is P4/mmm (No. 123) and the conventional cell measures 5.464, 5.464 and 5.463 Å, with angles of 90.00, 90.00 and 90.00 degrees. Symmetry generates all atoms from Si at (0.000, 0.000, 0.000), Ag at (0.500, 0.500, 0.500), Te at (0.000, 0.500, 0.500) and I at (0.500, 0.500, 0.000).

Entry 5:
Crystalline SiAgTeI2 at its relaxed geometry, computed with PBE.

Its energy relative to the lowest polymorph listed for this composition is 0.0 meV per atom. For the uncorrected formation energy, the calculation gives 0.39 eV per atom. The value obtained for the volume is 166 Å³/cell.

The space group is P4/mmm (No. 123) and the conventional cell measures 5.552, 5.552 and 5.399 Å, with angles of 90.00, 90.00 and 90.00 degrees. Symmetry generates all atoms from Si at (0.000, 0.000, 0.000), Ag at (0.500, 0.500, 0.500), Te at (0.000, 0.000, 0.500) and I at (0.000, 0.500, 0.000).

Entry 6:
Crystalline SiAg2WI at its relaxed geometry, computed with PBE.

For the uncorrected formation energy, the calculation gives 2.12 eV per atom. The value obtained for the volume is 147 Å³/cell.

The space group is P4/mmm (No. 123) and the conventional cell measures 5.179, 5.179 and 5.492 Å, with angles of 90.00, 90.00 and 90.00 degrees. Symmetry generates all atoms from Si at (0.000, 0.000, 0.000), Ag at (0.000, 0.500, 0.500), W at (0.500, 0.500, 0.000) and I at (0.000, 0.000, 0.500).

Entry 7:
Crystalline SmAgI4 at its relaxed geometry, computed with PBE.

For the uncorrected formation energy, the calculation gives -0.99 eV per atom. The value obtained for the volume is 528 Å³/cell.

The space group is C2/m (No. 12) and the conventional cell measures 17.063, 4.421 and 7.769 Å, with angles of 90.00, 115.68 and 90.00 degrees. Symmetry generates all atoms from Sm at (0.000, 0.000, 0.000), Ag at (0.000, 0.500, 0.500), I at (0.105, 0.000, 0.438) and I at (0.124, 0.500, 0.976).

Entry 8:
Crystalline SmAg2I6 at its relaxed geometry, computed with PBE.

For the uncorrected formation energy, the calculation gives -0.64 eV per atom. The value obtained for the volume is 1194 Å³/cell.

The space group is R3 (No. 146, hexagonal axes) and the conventional cell measures 7.5673, 7.5673 and 24.0673 Å, with angles of 90.00, 90.00 and 120.00 degrees. Symmetry generates all atoms from Sm at (0.0000, 0.0000, 0.0000), Ag at (0.0000, 0.0000, 0.2668), Ag at (0.0000, 0.0000, 0.3992), I at (0.0016, 0.3610, 0.4132) and I at (0.0022, 0.6407, 0.2536).

Entry 9:
Crystalline Sm2AgI at its relaxed geometry, computed with PBE.

Its energy relative to the lowest polymorph listed for this composition is 35.2 meV per atom. For the uncorrected formation energy, the calculation gives -0.44 eV per atom. The value obtained for the volume is 112 Å³/cell.

The space group is P4/mmm (No. 123) and the conventional cell measures 3.655, 3.655 and 8.392 Å, with angles of 90.00, 90.00 and 90.00 degrees. Symmetry generates all atoms from Sm at (0.000, 0.000, 0.228), Ag at (0.500, 0.500, 0.000) and I at (0.500, 0.500, 0.500).

Entry 10:
Crystalline Sm7AgI12 at its relaxed geometry, computed with PBE.

For the uncorrected formation energy, the calculation gives -1.16 eV per atom. The value obtained for the volume is 2374 Å³/cell.

The space group is R-3 (No. 148, hexagonal axes) and the conventional cell measures 16.0393, 16.0393 and 10.6566 Å, with angles of 90.00, 90.00 and 120.00 degrees. Symmetry generates all atoms from Sm at (0.0000, 0.0000, 0.0000), Sm at (0.0462, 0.8819, 0.3422), Ag at (0.0000, 0.0000, 0.5000), I at (0.0227, 0.4362, 0.1636) and I at (0.0520, 0.8661, 0.8422).

Entry 11:
Crystalline Sm2AgI at its relaxed geometry, computed with PBE.

Its energy relative to the lowest polymorph listed for this composition is 0.0 meV per atom. For the uncorrected formation energy, the calculation gives -0.47 eV per atom. The value obtained for the volume is 371 Å³/cell.

The space group is R-3m (No. 166, hexagonal axes) and the conventional cell measures 4.3167, 4.3167 and 22.9941 Å, with angles of 90.00, 90.00 and 120.00 degrees. Symmetry generates all atoms from Sm at (0.0000, 0.0000, 0.2387), Ag at (0.0000, 0.0000, 0.5000) and I at (0.0000, 0.0000, 0.0000).

Entry 12:
Crystalline Sm6AgI8 at its relaxed geometry, computed with PBE.

For the uncorrected formation energy, the calculation gives -1.00 eV per atom. The value obtained for the volume is 1742 Å³/cell.

The space group is R-3 (No. 148, hexagonal axes) and the conventional cell measures 7.5792, 7.5792 and 35.0256 Å, with angles of 90.00, 90.00 and 120.00 degrees. Symmetry generates all atoms from Sm at (0.0000, 0.3104, 0.0502), Ag at (0.0000, 0.0000, 0.0000), I at (0.0000, 0.0000, 0.3333) and I at (0.0000, 0.3447, 0.8937).

Entry 13:
Crystalline Sm2AgI at its relaxed geometry, computed with PBE.

Its energy relative to the lowest polymorph listed for this composition is 7.6 meV per atom. For the uncorrected formation energy, the calculation gives -0.46 eV per atom. The value obtained for the volume is 371 Å³/cell.

The space group is R3m (No. 160, hexagonal axes) and the conventional cell measures 4.1907, 4.1907 and 24.4022 Å, with angles of 90.00, 90.00 and 120.00 degrees. Symmetry generates all atoms from Sm at (0.0000, 0.0000, 0.0000), Sm at (0.0000, 0.0000, 0.1903), Ag at (0.0000, 0.0000, 0.5944) and I at (0.0000, 0.0000, 0.7624).

Entry 14:
Crystalline Sm2AgI2 at its relaxed geometry, computed with PBE.

For the uncorrected formation energy, the calculation gives -0.81 eV per atom. The value obtained for the volume is 554 Å³/cell.

The space group is R-3m (No. 166, hexagonal axes) and the conventional cell measures 4.2113, 4.2113 and 36.0469 Å, with angles of 90.00, 90.00 and 120.00 degrees. Symmetry generates all atoms from Sm at (0.0000, 0.0000, 0.1160), Ag at (0.0000, 0.0000, 0.5000) and I at (0.0000, 0.0000, 0.2758).

Entry 15:
Crystalline SmTl2AgI6 at its relaxed geometry, computed with PBE.

For the uncorrected formation energy, the calculation gives -0.85 eV per atom. The value obtained for the volume is 813 Å³/cell.

The space group is P2_1/c (No. 14) and the conventional cell measures 8.093, 8.664 and 14.030 Å, with angles of 90.00, 124.26 and 90.00 degrees. Symmetry generates all atoms from Sm at (0.000, 0.000, 0.000), Tl at (0.294, 0.095, 0.758), Ag at (0.500, 0.000, 0.500), I at (0.137, 0.024, 0.255), I at (0.239, 0.695, 0.055) and I at (0.367, 0.191, 0.054).

Entry 16:
Crystalline Ag2SnI at its relaxed geometry, computed with PBE.

Its energy relative to the lowest polymorph listed for this composition is 273.6 meV per atom. For the uncorrected formation energy, the calculation gives 0.42 eV per atom. The value obtained for the volume is 401 Å³/cell.

The space group is Fm-3m (No. 225) and the conventional cell measures 7.375, 7.375 and 7.375 Å, with angles of 90.00, 90.00 and 90.00 degrees. Symmetry generates all atoms from Ag at (0.250, 0.250, 0.250), Sn at (0.000, 0.000, 0.000) and I at (0.000, 0.000, 0.500).

Entry 17:
Crystalline Ag3Sn2I8 at its relaxed geometry, computed with PBE.

For the uncorrected formation energy, the calculation gives -0.27 eV per atom. The value obtained for the volume is 1014 Å³/cell.

The space group is C2/m (No. 12) and the conventional cell measures 15.913, 8.357 and 7.892 Å, with angles of 90.00, 104.91 and 90.00 degrees. Symmetry generates all atoms from Ag at (0.000, 0.000, 0.000), Ag at (0.000, 0.255, 0.500), Sn at (0.242, 0.000, 0.824), I at (0.112, 0.500, 0.425), I at (0.115, 0.000, 0.435) and I at (0.117, 0.246, 0.920).

Entry 18:
Crystalline Ag2SnI at its relaxed geometry, computed with PBE.

Its energy relative to the lowest polymorph listed for this composition is 9.0 meV per atom. For the uncorrected formation energy, the calculation gives 0.16 eV per atom. The value obtained for the volume is 494 Å³/cell.

The space group is I-42d (No. 122) and the conventional cell measures 7.328, 7.328 and 9.194 Å, with angles of 90.00, 90.00 and 90.00 degrees. Symmetry generates all atoms from Ag at (0.234, 0.250, 0.125), Sn at (0.000, 0.000, 0.000) and I at (0.000, 0.000, 0.500).

Entry 19:
Crystalline Ag2SnI4 at its relaxed geometry, computed with PBE.

Its energy relative to the lowest polymorph listed for this composition is 0.0 meV per atom. For the uncorrected formation energy, the calculation gives -0.34 eV per atom. The value obtained for the volume is 555 Å³/cell.

The space group is C2/m (No. 12) and the conventional cell measures 15.087, 4.721 and 8.004 Å, with angles of 90.00, 103.04 and 90.00 degrees. Symmetry generates all atoms from Ag at (0.167, 0.000, 0.089), Sn at (0.000, 0.500, 0.500), I at (0.127, 0.000, 0.413) and I at (0.130, 0.500, 0.882).

Entry 20:
Crystalline AgSnI4 at its relaxed geometry, computed with PBE.

Its energy relative to the lowest polymorph listed for this composition is 0.0 meV per atom. For the uncorrected formation energy, the calculation gives -0.30 eV per atom. The value obtained for the volume is 238 Å³/cell.

The space group is P2/m (No. 10) and the conventional cell measures 7.889, 4.187 and 8.128 Å, with angles of 90.00, 117.47 and 90.00 degrees. Symmetry generates all atoms from Ag at (0.000, 0.000, 0.000), Sn at (0.500, 0.500, 0.000), I at (0.225, 0.000, 0.727) and I at (0.262, 0.500, 0.224).